Entry 1:
KAgW: optimized geometry, PBE-GGA.

The calculated volume is 24.54 Å³/atom. The energy above the most stable polymorph in this dataset comes out at 0 meV/atom. The total energy comes out at -4.788 eV per atom. Its size of the total moment is 0.00 Bohr magnetons per cell.

The structure belongs to space group Pnma (No. 62); the cell edges are 9.993, 3.081 and 9.564 Å and the angles 90.00°, 90.00° and 90.00°. Symmetry generates all atoms from K at (0.073, 0.250, 0.159), Ag at (0.228, 0.250, 0.858) and W at (0.085, 0.250, 0.538).



Entry 2:
BeAlNi2S: optimized geometry, PBE-GGA.

The calculated volume is 13.96 Å³/atom. The value obtained for the formation energy (no corrections) is 206 meV/atom. The total energy comes out at -4.426 eV per atom. Its size of the total moment is 0.00 Bohr magnetons per cell.

The structure belongs to space group P4/mmm (No. 123); the cell edges are 4.281, 4.281 and 3.808 Å and the angles 90.00°, 90.00° and 90.00°. Symmetry generates all atoms from Be at (0.000, 0.000, 0.000), Al at (0.500, 0.500, 0.000), Ni at (0.000, 0.500, 0.500) and S at (0.000, 0.000, 0.500).



Entry 3:
Dy4Ho15Er: optimized geometry, PBE-GGA.

The calculated volume is 30.80 Å³/atom. The total energy comes out at -4.562 eV per atom. Its size of the total moment is 0.00 Bohr magnetons per cell.

The structure belongs to space group P4/mmm (No. 123); the cell edges are 4.976, 4.976 and 24.878 Å and the angles 90.00°, 90.00° and 90.00°. Symmetry generates all atoms from Dy at (0.000, 0.000, 0.100), Dy at (0.000, 0.000, 0.300), Ho at (0.000, 0.500, 0.000), Ho at (0.000, 0.500, 0.200), Ho at (0.000, 0.500, 0.400), Ho at (0.500, 0.500, 0.100), Ho at (0.500, 0.500, 0.300), Ho at (0.500, 0.500, 0.500) and Er at (0.000, 0.000, 0.500).



Please write out number 3 again, unchanged.
Dy4Ho15Er: optimized geometry, PBE-GGA.

The calculated volume is 30.80 Å³/atom. The total energy comes out at -4.562 eV per atom. Its size of the total moment is 0.00 Bohr magnetons per cell.

The structure belongs to space group P4/mmm (No. 123); the cell edges are 4.976, 4.976 and 24.878 Å and the angles 90.00°, 90.00° and 90.00°. Symmetry generates all atoms from Dy at (0.000, 0.000, 0.100), Dy at (0.000, 0.000, 0.300), Ho at (0.000, 0.500, 0.000), Ho at (0.000, 0.500, 0.200), Ho at (0.000, 0.500, 0.400), Ho at (0.500, 0.500, 0.100), Ho at (0.500, 0.500, 0.300), Ho at (0.500, 0.500, 0.500) and Er at (0.000, 0.000, 0.500).